# 1
First-principles (PBE) data for a relaxed SrInNi crystal, as listed in Alexandria.

Values from the calculation:
As for the size of the total moment: 0.0 Bohr magnetons per cell. Its space group is F-43m (216). The density is 5.49 Mg/m³. For the uncorrected energy, the calculation gives -3.453 eV per atom.

Unit cell a=4.8160 b=4.8160 c=4.8160 alpha=60.00 beta=60.00 gamma=60.00
Atoms (fractional coordinates):
In (0.5000, 0.5000, 0.5000)
Ni (0.7500, 0.7500, 0.7500)
Sr (0.0000, 0.0000, 0.0000)

=====

# 2
First-principles (PBE) data for a relaxed K2Cr2SnSe6 crystal, as listed in Alexandria.

Values from the calculation:
As for the size of the total moment: 6.0 Bohr magnetons per cell. Its space group is C2/m (12). The density is 4.33 Mg/m³. Its formation energy (no corrections) is -793 kJ/mol of formula units. For the uncorrected energy, the calculation gives -4.961 eV per atom.

Unit cell a=6.6514 b=6.6514 c=8.0852 alpha=97.44 beta=97.44 gamma=120.55
Atoms (fractional coordinates):
K (0.8374, 0.1626, 0.0000)
K (0.1626, 0.8374, 0.0000)
Cr (0.3324, 0.6676, 0.5000)
Cr (0.6676, 0.3324, 0.5000)
Sn (0.0000, 0.0000, 0.5000)
Se (0.7058, 0.7058, 0.6827)
Se (0.0583, 0.4101, 0.6817)
Se (0.2942, 0.2942, 0.3173)
Se (0.4101, 0.0583, 0.6817)
Se (0.9417, 0.5899, 0.3183)
Se (0.5899, 0.9417, 0.3183)

=====

# 3
First-principles (PBE) data for a relaxed CuRe3 crystal, as listed in Alexandria.

Values from the calculation:
As for the size of the total moment: 0.0 Bohr magnetons per cell. Its space group is Cmmm (65). The density is 17.92 Mg/m³. For the uncorrected energy, the calculation gives -10.084 eV per atom.

Unit cell a=4.7105 b=4.7105 c=2.7638 alpha=90.00 beta=90.00 gamma=109.97
Atoms (fractional coordinates):
Cu (0.0000, 0.0000, 0.0000)
Re (0.0000, 0.5000, 0.5000)
Re (0.5000, 0.0000, 0.5000)
Re (0.5000, 0.5000, 0.0000)

=====

# 4
First-principles (PBE) data for a relaxed Tb2YPd4 crystal, as listed in Alexandria.

Values from the calculation:
As for the size of the total moment: 0.0 Bohr magnetons per cell. Its space group is Fmmm (69). The density is 7.46 Mg/m³. For the uncorrected energy, the calculation gives -5.476 eV per atom.

Unit cell a=5.1897 b=5.1897 c=8.5975 alpha=114.64 beta=114.64 gamma=67.59
Atoms (fractional coordinates):
Tb (0.6317, 0.6317, 0.2633)
Tb (0.3683, 0.3683, 0.7367)
Y (0.0000, 0.0000, 0.0000)
Pd (0.8152, 0.8152, 0.6303)
Pd (0.1848, 0.1848, 0.3697)
Pd (0.0000, 0.5000, 0.0000)
Pd (0.5000, 0.0000, 0.0000)

=====

Q: What is the size of the total moment in the second record?
A: 6.0 Bohr magnetons per cell